# GeTeI2

GeTeI2 after structural relaxation (PBE, Alexandria via LeMat-Bulk).

Output
Excess energy over the best structure of this formula in the dataset   0.00 kcal/mol of atoms
Crystal system   triclinic
Raw total energy   -2.826 eV per atom
Energy relative to the elements, uncorrected   -0.111 eV per atom

The structure in CIF format:
```
data_GeTeI2
_chemical_formula_sum 'Ge1 Te1 I2'
_space_group_name_H-M_alt 'P 1'
_space_group_IT_number 1
_space_group_name_Hall 'P 1'
_cell_length_a 4.2419
_cell_length_b 6.2914
_cell_length_c 6.3437
_cell_angle_alpha 93.54
_cell_angle_beta 100.20
_cell_angle_gamma 95.24
loop_
_atom_site_label
_atom_site_type_symbol
_atom_site_fract_x
_atom_site_fract_y
_atom_site_fract_z
Ge1 Ge 0.0000 0.0000 0.0000
Te1 Te 0.4139 0.7236 0.8481
I1 I 0.0870 0.0916 0.5949
I2 I 0.6346 0.4497 0.1697
```